Entry 1:
First-principles (PBE) data for Sm2Cd3Sn3 after structural relaxation, as listed in Alexandria via LeMat-Bulk.

Computed properties:
- crystal system = orthorhombic

Cell lengths 4.8128, 4.6610, 9.0055 Å; angles 90.00, 90.00, 90.00 degrees
Closest atoms and distances in Å follow each position.
Element x y z (fractional)
Cd 0.5000 0.0000 0.0000  4 Cd 3.18, 4 Sm 3.33, 4 Sn 3.35
Sn 0.0000 0.5000 0.0000  8 Cd 3.24-3.35, 4 Sm 3.27
Sm 0.0000 0.0000 0.7449  6 Sn 3.21-3.27, 6 Cd 3.33-3.35
Cd 0.5000 0.5000 0.2407  2 Cd 3.18, 6 Sn 3.24-3.35, 4 Sm 3.35
Sm 0.0000 0.0000 0.2551  6 Sn 3.21-3.27, 6 Cd 3.33-3.35
Cd 0.5000 0.5000 0.7593  2 Cd 3.18, 6 Sn 3.24-3.35, 4 Sm 3.35
Sn 0.5000 0.0000 0.5000  4 Sm 3.26, 4 Cd 3.30, 4 Sn 3.35
Sn 0.0000 0.5000 0.5000  4 Sm 3.21, 4 Sn 3.35, 4 Cd 3.35

=====

Entry 2:
First-principles (PBE) data for Sm6CdSn2 after structural relaxation, as listed in Alexandria via LeMat-Bulk.

Computed properties:
- crystal system = monoclinic

Cell lengths 5.2444, 7.4153, 9.0951 Å; angles 114.06, 106.70, 90.00 degrees
Closest atoms and distances in Å follow each position.
Element x y z (fractional)
Sm 0.1643 0.9169 0.3290  1 Cd 3.18, 3 Sn 3.22
Sm 0.8357 0.0831 0.6710  1 Cd 3.18, 3 Sn 3.22
Sm 0.1643 0.4121 0.3290  1 Cd 3.18, 3 Sn 3.22
Sn 0.3326 0.3324 0.6648  8 Sm 3.22-3.25
Sm 0.5000 0.7549 0.0000  2 Cd 3.19, 2 Sn 3.25
Sm 0.5000 0.2451 0.0000  2 Cd 3.19, 2 Sn 3.25
Cd 0.0000 0.0000 0.0000  8 Sm 3.18-3.19
Sn 0.6674 0.6676 0.3352  8 Sm 3.22-3.25
Sm 0.8357 0.5879 0.6710  1 Cd 3.18, 3 Sn 3.22

=====

Entry 3:
First-principles (PBE) data for Sm2CdSn after structural relaxation, as listed in Alexandria via LeMat-Bulk.

Computed properties:
- crystal system = tetragonal

Cell lengths 4.2107, 5.1276, 5.1276 Å; angles 90.00, 90.00, 90.00 degrees
Closest atoms and distances in Å follow each position.
Element x y z (fractional)
Sm 0.0000 0.5000 0.0000  4 Sn 3.32, 4 Cd 3.32, 4 Sm 3.63
Sm 0.0000 0.0000 0.5000  4 Cd 3.32, 4 Sn 3.32, 4 Sm 3.63
Sn 0.5000 0.5000 0.5000  8 Sm 3.32, 4 Cd 3.63
Cd 0.5000 0.0000 0.0000  8 Sm 3.32, 4 Sn 3.63

=====

Entry 4:
First-principles (PBE) data for Sm2CdSn4 after structural relaxation, as listed in Alexandria via LeMat-Bulk.

Computed properties:
- offset from the most stable computed form (meV/atom) = 0.0
- crystal system = monoclinic

Cell lengths 6.5274, 6.5274, 6.5498 Å; angles 119.96, 119.96, 90.10 degrees
Closest atoms and distances in Å follow each position.
Element x y z (fractional)
Sn 0.7858 0.7858 0.0715  4 Sn 3.26, 4 Sm 3.27, 2 Cd 3.27-3.28
Sn 0.2857 0.2857 0.0712  2 Cd 3.26, 4 Sn 3.26, 4 Sm 3.27
Sm 0.7856 0.2858 0.5715  8 Sn 3.26-3.28, 2 Cd 3.26
Sn 0.2857 0.7856 0.0714  4 Sm 3.26-3.28, 4 Sn 3.26, 2 Cd 3.27
Sn 0.7856 0.2857 0.0714  4 Sm 3.26-3.28, 4 Sn 3.26, 2 Cd 3.27
Cd 0.7858 0.7858 0.5716  8 Sn 3.26-3.28, 4 Sm 3.26
Sm 0.2858 0.7856 0.5715  8 Sn 3.26-3.28, 2 Cd 3.26

=====

| no. | DOS(E_F) (states/eV/f.u.) | calculated formation energy (eV/f.u.) | total energy (Ry per atom) |
| --- | --- | --- | --- |
| 1 | 3.4 | -3.79 | -0.257 |
| 2 | 14.2 | -2.14 | -0.322 |
| 3 | 3.0 | -2.13 | -0.303 |
| 4 | 4.6 | -3.21 | -0.311 |